No. 1
VASP calculation (PBE) on a relaxed structure of KCuAgSe.

Summary:
Calculated total energy: -3.24 eV/atom
Space-group type: No. 129

POSCAR file:
```
KCuAgSe
1.0
3.9916 0.0000 0.0000
0.0000 3.9916 0.0000
0.0000 0.0000 12.4806
Ag Cu Se K
2 2 2 2
direct
0.2500 0.7500 0.5000 Ag
0.7500 0.2500 0.5000 Ag
0.2500 0.7500 0.0000 Cu
0.7500 0.2500 0.0000 Cu
0.2500 0.2500 0.1195 Se
0.7500 0.7500 0.8805 Se
0.7500 0.7500 0.2518 K
0.2500 0.2500 0.7482 K
```

No. 2
VASP calculation (PBE) on a relaxed structure of YHW3.

Summary:
Space-group type: No. 221
Offset from the most stable computed form: 3.104 eV/atom

POSCAR file:
```
YHW3
1.0
-3.0624 -3.6048 1.1079
2.2417 -2.8877 -3.1994
3.0327 -1.5056 3.4838
Y W H
1 3 1
direct
0.0000 0.0000 0.0000 Y
0.0000 0.0000 0.5000 W
0.5000 0.0000 0.0000 W
0.0000 0.5000 0.0000 W
0.5000 0.5000 0.5000 H
```

No. 3
VASP calculation (PBE) on a relaxed structure of RbCa2Tl.

Summary:
Space-group type: No. 225
Offset from the most stable computed form: 0.092 eV/atom

POSCAR file:
```
RbCa2Tl
1.0
0.0000 4.1408 4.1408
4.1408 0.0000 4.1408
4.1408 4.1408 0.0000
Rb Ca Tl
1 2 1
direct
0.0000 0.0000 0.0000 Rb
0.7500 0.7500 0.7500 Ca
0.2500 0.2500 0.2500 Ca
0.5000 0.5000 0.5000 Tl
```

No. 4
VASP calculation (PBE) on a relaxed structure of Tm3Mg2Os.

Summary:
Calculated total energy: -4.85 eV/atom
Space-group type: No. 10

POSCAR file:
```
Tm3Mg2Os
1.0
-2.7351 1.6822 -3.7299
-6.6568 -3.9340 -0.1293
-3.2765 5.3855 4.8317
Tm Os Mg
6 2 4
direct
0.5000 0.0000 0.2168 Tm
0.5000 0.0000 0.7832 Tm
0.8252 0.3496 0.2061 Tm
0.1748 0.6504 0.7939 Tm
0.1748 0.6504 0.2061 Tm
0.8252 0.3496 0.7939 Tm
0.3405 0.3193 0.0000 Os
0.6595 0.6807 0.0000 Os
0.0000 0.0000 0.0000 Mg
0.0000 0.0000 0.5000 Mg
0.6677 0.6661 0.5000 Mg
0.3323 0.3339 0.5000 Mg
```

Number 1: M_tot 0.000 μB per formula unit. Number 2: M_tot 0.000 μB per formula unit. Number 3: M_tot 0.000 μB per formula unit. Number 4: M_tot 0.000 μB per formula unit.